MoP3O9: relaxed, PBE with a Hubbard U.

Cell lengths 12.129, 12.129, 9.863 Å; angles 110.09, 110.09, 110.63 degrees
Sites, in units of the cell vectors:
Mo  0.079  0.921  0.500
Mo  0.261  0.771  0.031
Mo  0.409  0.586  0.498
Mo  0.586  0.409  0.998
Mo  0.771  0.261  0.531
Mo  0.921  0.079  0.000
P  0.057  0.438  0.244
P  0.059  0.667  0.189
P  0.112  0.175  0.829
P  0.131  0.414  0.789
P  0.175  0.112  0.329
P  0.324  0.379  0.663
P  0.379  0.324  0.163
P  0.414  0.131  0.289
P  0.438  0.057  0.744
P  0.453  0.850  0.849
P  0.518  0.792  0.347
P  0.667  0.059  0.689
P  0.712  0.761  0.228
P  0.726  0.998  0.181
P  0.761  0.712  0.728
P  0.792  0.518  0.847
P  0.850  0.453  0.349
P  0.998  0.726  0.681
O  0.021  0.300  0.117
O  0.030  0.515  0.142
O  0.054  0.729  0.346
O  0.064  0.851  0.671
O  0.074  0.735  0.844
O  0.096  0.984  0.326
O  0.110  0.112  0.667
O  0.112  0.110  0.167
O  0.154  0.333  0.886
O  0.182  0.555  0.926
O  0.186  0.753  0.194
O  0.197  0.532  0.405
O  0.200  0.242  0.482
O  0.237  0.433  0.725
O  0.242  0.200  0.982
O  0.300  0.021  0.617
O  0.329  0.987  0.137
O  0.333  0.154  0.386
O  0.343  0.398  0.279
O  0.344  0.766  0.872
O  0.398  0.343  0.779
O  0.406  0.943  0.794
O  0.410  0.485  0.638
O  0.418  0.685  0.357
O  0.433  0.237  0.225
O  0.457  0.831  0.225
O  0.483  0.773  0.726
O  0.485  0.410  0.138
O  0.515  0.030  0.642
O  0.532  0.197  0.905
O  0.555  0.182  0.426
O  0.593  0.969  0.029
O  0.614  0.743  0.304
O  0.620  0.654  0.582
O  0.634  0.927  0.532
O  0.654  0.620  0.082
O  0.683  0.843  0.136
O  0.685  0.418  0.857
O  0.729  0.054  0.846
O  0.735  0.074  0.344
O  0.743  0.614  0.804
O  0.753  0.186  0.694
O  0.766  0.344  0.372
O  0.773  0.483  0.226
O  0.831  0.457  0.725
O  0.842  0.859  0.871
O  0.843  0.683  0.636
O  0.851  0.064  0.171
O  0.859  0.842  0.371
O  0.927  0.634  0.032
O  0.943  0.406  0.294
O  0.969  0.593  0.529
O  0.984  0.096  0.826
O  0.987  0.329  0.637

- Space-group type: Cc, No. 9
- Density of states at the Fermi level: 0.0 states/eV per cell
- Energy above the lowest structure with this stoichiometry: 0.0 meV/atom
- Total DFT energy (no corrections): -7.321 eV per atom